{"formula": "CsZrSe2Br", "functional": "PBE", "state": "relaxed", "cell": [[5.6974, 0.0000, 0.0000], [0.0000, 5.6974, 0.0000], [0.0000, 0.0000, 6.1135]], "species": ["Cs", "Zr", "Se", "Se", "Br"], "frac_coords": [[0.0000, 0.0000, 0.0000], [0.5000, 0.5000, 0.5000], [0.0000, 0.5000, 0.0000], [0.5000, 0.0000, 0.0000], [0.0000, 0.0000, 0.5000]], "e_form_raw_ev_per_atom": 0.943, "vol_a3_per_atom": 39.69, "crystal_system": "tetragonal", "polymorph_energy_mev_per_atom": 2250, "dft_energy_ev_per_cell": -13.3}

***

{"formula": "Cs2SiBr", "functional": "PBE", "state": "relaxed", "cell": [[0.0000, 4.5033, 4.5033], [4.5033, 0.0000, 4.5033], [4.5033, 4.5033, 0.0000]], "species": ["Cs", "Cs", "Si", "Br"], "frac_coords": [[0.2500, 0.2500, 0.2500], [0.7500, 0.7500, 0.7500], [0.0000, 0.0000, 0.0000], [0.5000, 0.5000, 0.5000]], "e_form_raw_ev_per_atom": -0.338, "vol_a3_per_atom": 45.66, "crystal_system": "cubic", "polymorph_energy_mev_per_atom": 0, "dft_energy_ev_per_cell": -10.2}

***

{"formula": "CsSiBr", "functional": "PBE", "state": "relaxed", "cell": [[11.4515, -2.0102, 0.0000], [11.4515, 2.0102, 0.0000], [-0.5617, 0.0000, 5.3270]], "species": ["Cs", "Cs", "Si", "Si", "Br", "Br"], "frac_coords": [[0.0000, 0.0000, 0.0000], [0.2005, 0.2005, 0.5639], [0.3511, 0.3511, 0.1920], [0.8131, 0.8131, 0.0400], [0.4428, 0.4428, 0.4762], [0.6271, 0.6271, 0.0326]], "e_form_raw_ev_per_atom": -0.671, "vol_a3_per_atom": 40.88, "crystal_system": "monoclinic", "polymorph_energy_mev_per_atom": 52, "dft_energy_ev_per_cell": -19.9}